Entry 1:
# PBE La12NdPb3, optimized geometry
# Total moment: 0.00 μB per formula unit
# Energy of formation: -0.278 eV per atom
# DOS at the Fermi energy: 21.6 states/eV/f.u.
# Theoretical density: 7.51 g/cm³
# E_tot: -4.97 eV/atom
data_La12NdPb3
_symmetry_space_group_name_H-M 'P 4/m m m'
_symmetry_Int_Tables_number 123
_symmetry_space_group_name_Hall '-P 4 2'
_cell_length_a 5.099
_cell_length_b 5.099
_cell_length_c 20.680
_cell_angle_alpha 90.00
_cell_angle_beta 90.00
_cell_angle_gamma 90.00
loop_
_atom_site_label
_atom_site_type_symbol
_atom_site_fract_x
_atom_site_fract_y
_atom_site_fract_z
_atom_site_occupancy
La1 La 0.000 0.000 0.000 1
La2 La 0.000 0.000 0.244 1
La3 La 0.000 0.000 0.500 1
La4 La 0.000 0.500 0.122 1
La5 La 0.000 0.500 0.369 1
Nd1 Nd 0.500 0.500 0.500 1
Pb1 Pb 0.500 0.500 0.000 1
Pb2 Pb 0.500 0.500 0.245 1

Entry 2:
# PBE La2NdPb3, optimized geometry
# Total moment: 1.30 μB per formula unit
# Energy of formation: -0.535 eV per atom
# DOS at the Fermi energy: 6.2 states/eV/f.u.
# Theoretical density: 9.13 g/cm³
# Energy above the most stable polymorph in this dataset: 0.00 eV/f.u.
# E_tot: -4.83 eV/atom
data_La2NdPb3
_symmetry_space_group_name_H-M 'C m m m'
_symmetry_Int_Tables_number 65
_symmetry_space_group_name_Hall '-C 2 2'
_cell_length_a 6.003
_cell_length_b 18.035
_cell_length_c 7.010
_cell_angle_alpha 90.00
_cell_angle_beta 90.00
_cell_angle_gamma 90.00
loop_
_atom_site_label
_atom_site_type_symbol
_atom_site_fract_x
_atom_site_fract_y
_atom_site_fract_z
_atom_site_occupancy
La1 La 0.000 0.000 0.000 1
La2 La 0.000 0.000 0.500 1
La3 La 0.000 0.335 0.000 1
Nd1 Nd 0.000 0.333 0.500 1
Pb1 Pb 0.000 0.168 0.258 1
Pb2 Pb 0.000 0.500 0.258 1

Entry 3:
# PBE LaNd2Pb, optimized geometry
# Total moment: 0.00 μB per formula unit
# Energy of formation: -0.146 eV per atom
# DOS at the Fermi energy: 4.9 states/eV/f.u.
# Theoretical density: 7.73 g/cm³
# Energy above the most stable polymorph in this dataset: 0.84 eV/f.u.
# E_tot: -4.69 eV/atom
data_LaNd2Pb
_symmetry_space_group_name_H-M 'C 1 m 1'
_symmetry_Int_Tables_number 8
_symmetry_space_group_name_Hall 'C -2y'
_cell_length_a 6.419
_cell_length_b 3.705
_cell_length_c 11.662
_cell_angle_alpha 90.00
_cell_angle_beta 100.50
_cell_angle_gamma 90.00
loop_
_atom_site_label
_atom_site_type_symbol
_atom_site_fract_x
_atom_site_fract_y
_atom_site_fract_z
_atom_site_occupancy
La1 La 0.000 0.000 0.000 1
Nd1 Nd 0.245 0.000 0.734 1
Nd2 Nd 0.421 0.000 0.264 1
Pb1 Pb 0.334 0.500 0.500 1

Entry 4:
# PBE La3NdPb5, optimized geometry
# Total moment: 0.00 μB per formula unit
# Energy of formation: -0.529 eV per atom
# DOS at the Fermi energy: 9.4 states/eV/f.u.
# Theoretical density: 9.25 g/cm³
# E_tot: -4.76 eV/atom
data_La3NdPb5
_symmetry_space_group_name_H-M 'P 63/m c m'
_symmetry_Int_Tables_number 193
_symmetry_space_group_name_Hall '-P 6c 2'
_cell_length_a 9.8779
_cell_length_b 9.8779
_cell_length_c 6.7836
_cell_angle_alpha 90.00
_cell_angle_beta 90.00
_cell_angle_gamma 120.00
loop_
_atom_site_label
_atom_site_type_symbol
_atom_site_fract_x
_atom_site_fract_y
_atom_site_fract_z
_atom_site_occupancy
La1 La 0.0000 0.3803 0.2500 1
Nd1 Nd 0.0000 0.0000 0.0000 1
Pb1 Pb 0.0000 0.2883 0.7500 1
Pb2 Pb 0.3333 0.6667 0.0000 1

Entry 5:
# PBE LaNd14Pb, optimized geometry
# Total moment: 0.00 μB per formula unit
# Energy of formation: -0.044 eV per atom
# DOS at the Fermi energy: 22.8 states/eV/f.u.
# Theoretical density: 7.14 g/cm³
# E_tot: -4.76 eV/atom
data_LaNd14Pb
_symmetry_space_group_name_H-M 'P 4/m m m'
_symmetry_Int_Tables_number 123
_symmetry_space_group_name_Hall '-P 4 2'
_cell_length_a 7.302
_cell_length_b 7.302
_cell_length_c 10.321
_cell_angle_alpha 90.00
_cell_angle_beta 90.00
_cell_angle_gamma 90.00
loop_
_atom_site_label
_atom_site_type_symbol
_atom_site_fract_x
_atom_site_fract_y
_atom_site_fract_z
_atom_site_occupancy
La1 La 0.000 0.000 0.000 1
Nd1 Nd 0.000 0.000 0.500 1
Nd2 Nd 0.000 0.500 0.000 1
Nd3 Nd 0.000 0.500 0.500 1
Nd4 Nd 0.254 0.254 0.246 1
Nd5 Nd 0.500 0.500 0.500 1
Pb1 Pb 0.500 0.500 0.000 1

Entry 6:
# PBE LaNd2Pb2, optimized geometry
# Total moment: 0.00 μB per formula unit
# Energy of formation: -0.340 eV per atom
# DOS at the Fermi energy: 3.9 states/eV/f.u.
# Theoretical density: 8.39 g/cm³
# Energy above the most stable polymorph in this dataset: 0.00 eV/f.u.
# E_tot: -4.72 eV/atom
data_LaNd2Pb2
_symmetry_space_group_name_H-M 'P 1 21/m 1'
_symmetry_Int_Tables_number 11
_symmetry_space_group_name_Hall '-P 2yb'
_cell_length_a 6.156
_cell_length_b 3.750
_cell_length_c 14.443
_cell_angle_alpha 90.00
_cell_angle_beta 90.01
_cell_angle_gamma 90.00
loop_
_atom_site_label
_atom_site_type_symbol
_atom_site_fract_x
_atom_site_fract_y
_atom_site_fract_z
_atom_site_occupancy
La1 La 0.248 0.250 0.224 1
Nd1 Nd 0.250 0.750 0.023 1
Nd2 Nd 0.251 0.250 0.596 1
Pb1 Pb 0.249 0.750 0.411 1
Pb2 Pb 0.252 0.250 0.829 1

Entry 7:
# PBE La7Nd12Pb, optimized geometry
# Total moment: 0.00 μB per formula unit
# Energy of formation: 0.120 eV per atom
# DOS at the Fermi energy: 36.0 states/eV/f.u.
# Theoretical density: 6.67 g/cm³
# E_tot: -4.65 eV/atom
data_La7Nd12Pb
_symmetry_space_group_name_H-M 'R -3'
_symmetry_Int_Tables_number 148
_symmetry_space_group_name_Hall '-R 3'
_cell_length_a 12.6217
_cell_length_b 12.6217
_cell_length_c 15.7634
_cell_angle_alpha 90.00
_cell_angle_beta 90.00
_cell_angle_gamma 120.00
loop_
_atom_site_label
_atom_site_type_symbol
_atom_site_fract_x
_atom_site_fract_y
_atom_site_fract_z
_atom_site_occupancy
La1 La 0.0000 0.0000 0.0000 1
La2 La 0.0137 0.4296 0.6986 1
Nd1 Nd 0.0389 0.1870 0.8068 1
Nd2 Nd 0.0711 0.5960 0.0914 1
Pb1 Pb 0.0000 0.0000 0.5000 1

Entry 8:
# PBE LaNd4Pb4, optimized geometry
# Total moment: 0.59 μB per formula unit
# Energy of formation: -0.334 eV per atom
# DOS at the Fermi energy: 9.0 states/eV/f.u.
# Theoretical density: 7.66 g/cm³
# E_tot: -4.65 eV/atom
data_LaNd4Pb4
_symmetry_space_group_name_H-M 'I 4/m'
_symmetry_Int_Tables_number 87
_symmetry_space_group_name_Hall '-I 4'
_cell_length_a 10.207
_cell_length_b 10.207
_cell_length_c 6.427
_cell_angle_alpha 90.00
_cell_angle_beta 90.00
_cell_angle_gamma 90.00
loop_
_atom_site_label
_atom_site_type_symbol
_atom_site_fract_x
_atom_site_fract_y
_atom_site_fract_z
_atom_site_occupancy
La1 La 0.000 0.000 0.000 1
Nd1 Nd 0.101 0.699 0.500 1
Pb1 Pb 0.102 0.699 0.000 1

Entry 9:
# PBE La8Nd2Pb, optimized geometry
# Total moment: 0.00 μB per formula unit
# Energy of formation: -0.102 eV per atom
# DOS at the Fermi energy: 15.7 states/eV/f.u.
# Theoretical density: 6.91 g/cm³
# Energy above the most stable polymorph in this dataset: 0.00 eV/f.u.
# E_tot: -4.89 eV/atom
data_La8Nd2Pb
_symmetry_space_group_name_H-M 'C 1 2/m 1'
_symmetry_Int_Tables_number 12
_symmetry_space_group_name_Hall '-C 2y'
_cell_length_a 18.943
_cell_length_b 5.078
_cell_length_c 8.320
_cell_angle_alpha 90.00
_cell_angle_beta 105.24
_cell_angle_gamma 90.00
loop_
_atom_site_label
_atom_site_type_symbol
_atom_site_fract_x
_atom_site_fract_y
_atom_site_fract_z
_atom_site_occupancy
La1 La 0.044 0.000 0.235 1
La2 La 0.090 0.500 0.943 1
La3 La 0.135 0.000 0.680 1
La4 La 0.176 0.500 0.411 1
Nd1 Nd 0.227 0.000 0.137 1
Pb1 Pb 0.000 0.500 0.500 1

Entry 10:
# PBE LaNd5Pb6, optimized geometry
# Total moment: 0.00 μB per formula unit
# Energy of formation: -0.422 eV per atom
# DOS at the Fermi energy: 12.2 states/eV/f.u.
# Theoretical density: 8.45 g/cm³
# Energy above the most stable polymorph in this dataset: 0.86 eV/f.u.
# E_tot: -4.67 eV/atom
data_LaNd5Pb6
_symmetry_space_group_name_H-M 'C 1 2/m 1'
_symmetry_Int_Tables_number 12
_symmetry_space_group_name_Hall '-C 2y'
_cell_length_a 7.984
_cell_length_b 13.779
_cell_length_c 7.961
_cell_angle_alpha 90.00
_cell_angle_beta 109.37
_cell_angle_gamma 90.00
loop_
_atom_site_label
_atom_site_type_symbol
_atom_site_fract_x
_atom_site_fract_y
_atom_site_fract_z
_atom_site_occupancy
La1 La 0.000 0.000 0.000 1
Nd1 Nd 0.000 0.164 0.500 1
Nd2 Nd 0.000 0.333 0.000 1
Nd3 Nd 0.000 0.500 0.500 1
Pb1 Pb 0.245 0.500 0.251 1
Pb2 Pb 0.246 0.331 0.747 1

Entry 11:
# PBE LaNd3Pb4, optimized geometry
# Total moment: 0.07 μB per formula unit
# Energy of formation: -0.530 eV per atom
# DOS at the Fermi energy: 8.0 states/eV/f.u.
# Theoretical density: 9.50 g/cm³
# Energy above the most stable polymorph in this dataset: 0.00 eV/f.u.
# E_tot: -4.79 eV/atom
data_LaNd3Pb4
_symmetry_space_group_name_H-M 'C 1 2/m 1'
_symmetry_Int_Tables_number 12
_symmetry_space_group_name_Hall '-C 2y'
_cell_length_a 19.067
_cell_length_b 5.163
_cell_length_c 5.163
_cell_angle_alpha 90.00
_cell_angle_beta 105.58
_cell_angle_gamma 90.00
loop_
_atom_site_label
_atom_site_type_symbol
_atom_site_fract_x
_atom_site_fract_y
_atom_site_fract_z
_atom_site_occupancy
La1 La 0.000 0.000 0.000 1
Nd1 Nd 0.000 0.500 0.500 1
Nd2 Nd 0.249 0.500 0.749 1
Pb1 Pb 0.126 0.000 0.626 1
Pb2 Pb 0.126 0.500 0.126 1

Entry 12:
# PBE La2Nd3Pb, optimized geometry
# Total moment: 0.00 μB per formula unit
# Energy of formation: -0.194 eV per atom
# DOS at the Fermi energy: 8.0 states/eV/f.u.
# Theoretical density: 7.61 g/cm³
# E_tot: -4.84 eV/atom
data_La2Nd3Pb
_symmetry_space_group_name_H-M 'C m m m'
_symmetry_Int_Tables_number 65
_symmetry_space_group_name_Hall '-C 2 2'
_cell_length_a 5.048
_cell_length_b 16.010
_cell_length_c 4.956
_cell_angle_alpha 90.00
_cell_angle_beta 90.00
_cell_angle_gamma 90.00
loop_
_atom_site_label
_atom_site_type_symbol
_atom_site_fract_x
_atom_site_fract_y
_atom_site_fract_z
_atom_site_occupancy
La1 La 0.000 0.163 0.000 1
Nd1 Nd 0.000 0.000 0.500 1
Nd2 Nd 0.000 0.341 0.500 1
Pb1 Pb 0.000 0.500 0.000 1

- Among the records above, which one has the highest total moment?
  La2NdPb3

- The highest theoretical density belongs to which entry?
  LaNd3Pb4

- Number 12 is which compound?
  La2Nd3Pb